# 1
A crystal of Na4Al3Si3SO16 relaxed with PBEsol. Source: the Alexandria database, functional meta-GGA SCAN.

Cell: 9.2061 9.2061 9.2061 Å, 90.00 90.00 90.00°
Last column: nearest neighbours and their distance in Å.
Fractional positions:
1 Na 0.2403 0.2403 0.2403  4 O 2.35-2.40
2 Na 0.2403 0.7597 0.7597  4 O 2.35-2.40
3 Na 0.2597 0.2597 0.7403  4 O 2.35-2.40
4 Na 0.2597 0.7403 0.2597  4 O 2.35-2.40
5 Na 0.7403 0.2597 0.2597  4 O 2.35-2.40
6 Na 0.7403 0.7403 0.7403  4 O 2.35-2.40
7 Na 0.7597 0.2403 0.7597  4 O 2.35-2.40
8 Na 0.7597 0.7597 0.2403  4 O 2.35-2.40
9 Al 0.0000 0.2500 0.5000  4 O 1.74
10 Al 0.0000 0.7500 0.5000  4 O 1.74
11 Al 0.2500 0.5000 0.0000  4 O 1.74
12 Al 0.5000 0.0000 0.2500  4 O 1.74
13 Al 0.5000 0.0000 0.7500  4 O 1.74
14 Al 0.7500 0.5000 0.0000  4 O 1.74
15 Si 0.0000 0.5000 0.2500  4 O 1.63
16 Si 0.0000 0.5000 0.7500  4 O 1.63
17 Si 0.2500 0.0000 0.5000  4 O 1.63
18 Si 0.5000 0.2500 0.0000  4 O 1.63
19 Si 0.5000 0.7500 0.0000  4 O 1.63
20 Si 0.7500 0.0000 0.5000  4 O 1.63
21 S 0.0000 0.0000 0.0000  4 O 1.48
22 S 0.5000 0.5000 0.5000  4 O 1.48
23 O 0.0306 0.3544 0.3454  1 Si 1.63, 1 Al 1.74
24 O 0.0306 0.6456 0.6546  1 Si 1.63, 1 Al 1.74
25 O 0.0928 0.0928 0.0928  1 S 1.48
26 O 0.0928 0.9072 0.9072  1 S 1.48
27 O 0.1456 0.4694 0.8454  1 Si 1.63, 1 Al 1.74
28 O 0.1456 0.5306 0.1546  1 Si 1.63, 1 Al 1.74
29 O 0.1546 0.1456 0.5306  1 Si 1.63, 1 Al 1.74
30 O 0.1546 0.8544 0.4694  1 Si 1.63, 1 Al 1.74
31 O 0.3454 0.0306 0.3544  1 Si 1.63, 1 Al 1.74
32 O 0.3454 0.9694 0.6456  1 Si 1.63, 1 Al 1.74
33 O 0.3544 0.3454 0.0306  1 Si 1.63, 1 Al 1.74
34 O 0.3544 0.6546 0.9694  1 Si 1.63, 1 Al 1.74
35 O 0.4072 0.4072 0.5928  1 S 1.48
36 O 0.4072 0.5928 0.4072  1 S 1.48
37 O 0.4694 0.1546 0.8544  1 Si 1.63, 1 Al 1.74
38 O 0.4694 0.8454 0.1456  1 Si 1.63, 1 Al 1.74
39 O 0.5306 0.1546 0.1456  1 Si 1.63, 1 Al 1.74
40 O 0.5306 0.8454 0.8544  1 Si 1.63, 1 Al 1.74
41 O 0.5928 0.4072 0.4072  1 S 1.48
42 O 0.5928 0.5928 0.5928  1 S 1.48
43 O 0.6456 0.3454 0.9694  1 Si 1.63, 1 Al 1.74
44 O 0.6456 0.6546 0.0306  1 Si 1.63, 1 Al 1.74
45 O 0.6546 0.0306 0.6456  1 Si 1.63, 1 Al 1.74
46 O 0.6546 0.9694 0.3544  1 Si 1.63, 1 Al 1.74
47 O 0.8454 0.1456 0.4694  1 Si 1.63, 1 Al 1.74
48 O 0.8454 0.8544 0.5306  1 Si 1.63, 1 Al 1.74
49 O 0.8544 0.4694 0.1546  1 Si 1.63, 1 Al 1.74
50 O 0.8544 0.5306 0.8454  1 Si 1.63, 1 Al 1.74
51 O 0.9072 0.0928 0.9072  1 S 1.48
52 O 0.9072 0.9072 0.0928  1 S 1.48
53 O 0.9694 0.3544 0.6546  1 Si 1.63, 1 Al 1.74
54 O 0.9694 0.6456 0.3454  1 Si 1.63, 1 Al 1.74

Properties
N(E_F), states/eV per cell: 35.817
E_form (uncorrected), eV per atom: -2.68
Space-group type: P-43n, No. 218



# 2
A crystal of Na2Al2Si3O10 relaxed with PBEsol. Source: the Alexandria database, functional meta-GGA SCAN.

Cell: 8.6315 8.6315 11.5083 Å, 129.90 129.90 43.71°
Last column: nearest neighbours and their distance in Å.
Fractional positions:
1 Na 0.1182 0.1182 0.3601  4 O 2.37-2.64
2 Na 0.4664 0.0373 0.1394  4 O 2.41-2.58
3 Na 0.8818 0.8818 0.6399  4 O 2.37-2.64
4 Na 0.9627 0.5336 0.8606  4 O 2.41-2.58
5 Al 0.1036 0.6331 0.2827  4 O 1.76-1.78
6 Al 0.3669 0.8964 0.7173  4 O 1.76-1.78
7 Al 0.3829 0.4191 0.7779  4 O 1.74-1.77
8 Al 0.5809 0.6171 0.2221  4 O 1.74-1.77
9 Si 0.0980 0.9020 0.0000  4 O 1.63-1.65
10 Si 0.3857 0.4271 0.5370  4 O 1.62-1.66
11 Si 0.5729 0.6143 0.4630  4 O 1.62-1.66
12 Si 0.5987 0.1485 0.9776  4 O 1.61-1.67
13 Si 0.8515 0.4013 0.0224  4 O 1.61-1.67
14 Si 0.8516 0.1484 0.5000  4 O 1.62-1.65
15 O 0.0160 0.1036 0.9539  2 Si 1.65-1.67
16 O 0.0970 0.1340 0.6453  1 Si 1.62, 1 Al 1.77
17 O 0.1301 0.6663 0.8396  1 Si 1.63, 1 Al 1.77
18 O 0.2797 0.7093 0.6460  1 Si 1.64, 1 Al 1.76
19 O 0.2889 0.3940 0.3509  1 Si 1.62, 1 Al 1.77
20 O 0.2907 0.7203 0.3540  1 Si 1.64, 1 Al 1.76
21 O 0.3103 0.3334 0.5699  1 Si 1.64, 1 Al 1.77
22 O 0.3337 0.8699 0.1604  1 Si 1.63, 1 Al 1.77
23 O 0.4955 0.0063 0.9296  1 Si 1.64, 1 Al 1.78
24 O 0.5038 0.4062 0.1122  1 Si 1.61, 1 Al 1.75
25 O 0.5173 0.1727 0.8151  1 Si 1.62, 1 Al 1.74
26 O 0.5938 0.4962 0.8878  1 Si 1.61, 1 Al 1.75
27 O 0.6060 0.7111 0.6491  1 Si 1.62, 1 Al 1.77
28 O 0.6666 0.6897 0.4301  1 Si 1.64, 1 Al 1.77
29 O 0.6808 0.2580 0.5869  2 Si 1.65-1.66
30 O 0.7420 0.3192 0.4131  2 Si 1.65-1.66
31 O 0.8273 0.4827 0.1849  1 Si 1.62, 1 Al 1.74
32 O 0.8660 0.9030 0.3547  1 Si 1.62, 1 Al 1.77
33 O 0.8964 0.9840 0.0461  2 Si 1.65-1.67
34 O 0.9937 0.5045 0.0704  1 Si 1.64, 1 Al 1.78

Properties
N(E_F), states/eV per cell: 0.000
E_form (uncorrected), eV per atom: -2.98
Space-group type: C2, No. 5



# 3
A crystal of Na4Al3Si3O12 relaxed with PBEsol. Source: the Alexandria database, functional meta-GGA SCAN.

Cell: 8.9022 8.9022 8.9022 Å, 90.00 90.00 90.00°
Last column: nearest neighbours and their distance in Å.
Fractional positions:
1 Na 0.1771 0.1771 0.1771  3 O 2.33
2 Na 0.1771 0.8229 0.8229  3 O 2.33
3 Na 0.3229 0.3229 0.6771  3 O 2.33
4 Na 0.3229 0.6771 0.3229  3 O 2.33
5 Na 0.6771 0.3229 0.3229  3 O 2.33
6 Na 0.6771 0.6771 0.6771  3 O 2.33
7 Na 0.8229 0.1771 0.8229  3 O 2.33
8 Na 0.8229 0.8229 0.1771  3 O 2.33
9 Al 0.0000 0.2500 0.5000  4 O 1.75
10 Al 0.0000 0.7500 0.5000  4 O 1.75
11 Al 0.2500 0.5000 0.0000  4 O 1.75
12 Al 0.5000 0.0000 0.2500  4 O 1.75
13 Al 0.5000 0.0000 0.7500  4 O 1.75
14 Al 0.7500 0.5000 0.0000  4 O 1.75
15 Si 0.0000 0.5000 0.2500  4 O 1.64
16 Si 0.0000 0.5000 0.7500  4 O 1.64
17 Si 0.2500 0.0000 0.5000  4 O 1.64
18 Si 0.5000 0.2500 0.0000  4 O 1.64
19 Si 0.5000 0.7500 0.0000  4 O 1.64
20 Si 0.7500 0.0000 0.5000  4 O 1.64
21 O 0.0650 0.3610 0.6490  1 Si 1.64, 1 Al 1.75
22 O 0.0650 0.6390 0.3510  1 Si 1.64, 1 Al 1.75
23 O 0.1390 0.4350 0.1490  1 Si 1.64, 1 Al 1.75
24 O 0.1390 0.5650 0.8510  1 Si 1.64, 1 Al 1.75
25 O 0.1490 0.1390 0.4350  1 Si 1.64, 1 Al 1.75
26 O 0.1490 0.8610 0.5650  1 Si 1.64, 1 Al 1.75
27 O 0.3510 0.0650 0.6390  1 Si 1.64, 1 Al 1.75
28 O 0.3510 0.9350 0.3610  1 Si 1.64, 1 Al 1.75
29 O 0.3610 0.3510 0.9350  1 Si 1.64, 1 Al 1.75
30 O 0.3610 0.6490 0.0650  1 Si 1.64, 1 Al 1.75
31 O 0.4350 0.1490 0.1390  1 Si 1.64, 1 Al 1.75
32 O 0.4350 0.8510 0.8610  1 Si 1.64, 1 Al 1.75
33 O 0.5650 0.1490 0.8610  1 Si 1.64, 1 Al 1.75
34 O 0.5650 0.8510 0.1390  1 Si 1.64, 1 Al 1.75
35 O 0.6390 0.3510 0.0650  1 Si 1.64, 1 Al 1.75
36 O 0.6390 0.6490 0.9350  1 Si 1.64, 1 Al 1.75
37 O 0.6490 0.0650 0.3610  1 Si 1.64, 1 Al 1.75
38 O 0.6490 0.9350 0.6390  1 Si 1.64, 1 Al 1.75
39 O 0.8510 0.1390 0.5650  1 Si 1.64, 1 Al 1.75
40 O 0.8510 0.8610 0.4350  1 Si 1.64, 1 Al 1.75
41 O 0.8610 0.4350 0.8510  1 Si 1.64, 1 Al 1.75
42 O 0.8610 0.5650 0.1490  1 Si 1.64, 1 Al 1.75
43 O 0.9350 0.3610 0.3510  1 Si 1.64, 1 Al 1.75
44 O 0.9350 0.6390 0.6490  1 Si 1.64, 1 Al 1.75

Properties
N(E_F), states/eV per cell: 4.814
E_form (uncorrected), eV per atom: -2.87
Space-group type: P-43n, No. 218



# 4
A crystal of Na2TaAlOs relaxed with PBEsol. Source: the Alexandria database, functional meta-GGA SCAN.

Cell: 5.6552 5.6552 4.5861 Å, 90.00 90.00 90.00°
Last column: nearest neighbours and their distance in Å.
Fractional positions:
1 Na 0.0000 0.5000 0.0000  2 Ta 2.83
2 Na 0.5000 0.0000 0.0000  2 Ta 2.83
3 Ta 0.0000 0.0000 0.0000  2 Os 2.29
4 Al 0.5000 0.5000 0.5000  8 Na 3.64, 4 Os 4.00
5 Os 0.0000 0.0000 0.5000  2 Ta 2.29

Properties
Formation energy, kJ/mol of formula units: 819
N(E_F), states/eV per cell: 4.061
Space-group type: P4/mmm, No. 123



# 5
A crystal of Na3Sr3AlP4 relaxed with PBEsol. Source: the Alexandria database, functional meta-GGA SCAN.

Cell: 9.3371 9.3371 7.3107 Å, 90.00 90.00 120.00°
Last column: nearest neighbours and their distance in Å.
Fractional positions:
1 Na 0.1341 0.2682 0.0000  3 P 2.87-2.99
2 Na 0.1341 0.8659 0.0000  3 P 2.87-2.99
3 Na 0.2682 0.1341 0.5000  3 P 2.87-2.99
4 Na 0.7318 0.8659 0.0000  3 P 2.87-2.99
5 Na 0.8659 0.1341 0.5000  3 P 2.87-2.99
6 Na 0.8659 0.7318 0.5000  3 P 2.87-2.99
7 Sr 0.0480 0.5240 0.3301  5 P 3.08-3.21, 1 Al 3.21, 2 Na 3.39
8 Sr 0.4760 0.5240 0.3301  5 P 3.08-3.21, 1 Al 3.21, 2 Na 3.39
9 Sr 0.4760 0.9520 0.3301  5 P 3.08-3.21, 1 Al 3.21, 2 Na 3.39
10 Sr 0.5240 0.0480 0.8301  5 P 3.08-3.21, 1 Al 3.21, 2 Na 3.39
11 Sr 0.5240 0.4760 0.8301  5 P 3.08-3.21, 1 Al 3.21, 2 Na 3.39
12 Sr 0.9520 0.4760 0.8301  5 P 3.08-3.21, 1 Al 3.21, 2 Na 3.39
13 Al 0.3333 0.6667 0.7065  4 P 2.40-2.46
14 Al 0.6667 0.3333 0.2065  4 P 2.40-2.46
15 P 0.1915 0.3830 0.6105  1 Al 2.40
16 P 0.1915 0.8085 0.6105  1 Al 2.40
17 P 0.3333 0.6667 0.0429  1 Al 2.46
18 P 0.3830 0.1915 0.1105  1 Al 2.40
19 P 0.6170 0.8085 0.6105  1 Al 2.40
20 P 0.6667 0.3333 0.5429  1 Al 2.46
21 P 0.8085 0.1915 0.1105  1 Al 2.40
22 P 0.8085 0.6170 0.1105  1 Al 2.40

Properties
Formation energy, kJ/mol of formula units: -1052
Space-group type: P6_3mc, No. 186



# 6
A crystal of NaSr2AlP3 relaxed with PBEsol. Source: the Alexandria database, functional meta-GGA SCAN.

Cell: 8.0278 8.0278 11.4241 Å, 103.81 103.81 68.29°
Last column: nearest neighbours and their distance in Å.
Fractional positions:
1 Na 0.1484 0.1484 0.2357  2 P 2.70
2 Na 0.1965 0.8035 0.0000  4 P 2.85-3.14, 2 Al 3.13
3 Na 0.8035 0.1965 0.0000  4 P 2.85-3.14, 2 Al 3.13
4 Na 0.8516 0.8516 0.7643  2 P 2.70
5 Sr 0.0000 0.5000 0.0000  6 P 3.02-3.19, 2 Na 3.36
6 Sr 0.0000 0.5000 0.5000  6 P 2.99-3.15
7 Sr 0.2474 0.6924 0.3139  7 P 3.07-3.42, 1 Al 3.29
8 Sr 0.3076 0.7526 0.6861  7 P 3.07-3.42, 1 Al 3.29
9 Sr 0.5000 0.0000 0.0000  6 P 3.02-3.19, 2 Na 3.36
10 Sr 0.5000 0.0000 0.5000  6 P 2.99-3.15
11 Sr 0.6924 0.2474 0.3139  7 P 3.07-3.42, 1 Al 3.29
12 Sr 0.7526 0.3076 0.6861  7 P 3.07-3.42, 1 Al 3.29
13 Al 0.1972 0.1972 0.7309  4 P 2.35-2.53
14 Al 0.4094 0.4094 0.8827  4 P 2.36-2.44
15 Al 0.5906 0.5906 0.1173  4 P 2.36-2.44
16 Al 0.8028 0.8028 0.2691  4 P 2.35-2.53
17 P 0.0867 0.0867 0.5102  1 P 2.25
18 P 0.0896 0.0896 0.8622  1 Al 2.35
19 P 0.1110 0.5220 0.7711  2 Al 2.38-2.39
20 P 0.4088 0.4088 0.0956  2 Al 2.36-2.44
21 P 0.4122 0.4122 0.4881  1 P 2.27
22 P 0.4780 0.8890 0.2289  2 Al 2.38-2.39
23 P 0.5220 0.1110 0.7711  2 Al 2.38-2.39
24 P 0.5878 0.5878 0.5119  1 P 2.27
25 P 0.5912 0.5912 0.9044  2 Al 2.36-2.44
26 P 0.8890 0.4780 0.2289  2 Al 2.38-2.39
27 P 0.9104 0.9104 0.1378  1 Al 2.35
28 P 0.9133 0.9133 0.4898  1 P 2.25

Properties
Formation energy, kJ/mol of formula units: -708
Space-group type: C2/m, No. 12



# 7
A crystal of NaSr2AlP relaxed with PBEsol. Source: the Alexandria database, functional meta-GGA SCAN.

Cell: 5.8588 5.8588 4.8232 Å, 90.00 90.00 90.00°
Last column: nearest neighbours and their distance in Å.
Fractional positions:
1 Na 0.0000 0.0000 0.0000  8 Sr 3.79, 4 Al 4.14
2 Sr 0.0000 0.5000 0.5000  2 P 2.93
3 Sr 0.5000 0.0000 0.5000  2 P 2.93
4 Al 0.5000 0.5000 0.0000  2 P 2.41
5 P 0.5000 0.5000 0.5000  2 Al 2.41

Properties
Formation energy, kJ/mol of formula units: -143
N(E_F), states/eV per cell: 3.021
Space-group type: P4/mmm, No. 123



no.,ρ (Mg/m³),calculated volume (Å³ per atom)
1,2.32,14.45
2,2.67,12.59
3,2.11,16.03
4,5.03,29.33
5,2.90,25.09
6,3.23,23.39
7,2.57,33.11